## KPWS2 (PBE-GGA)

Data for a geometry-optimized KPWS2 structure.

```
data_KPWS2
_cell_length_a 4.803
_cell_length_b 4.803
_cell_length_c 4.765
_cell_angle_alpha 90.00
_cell_angle_beta 90.00
_cell_angle_gamma 90.00
_symmetry_space_group_name_H-M 'P 4/m m m'
_symmetry_Int_Tables_number 123
_symmetry_space_group_name_Hall '-P 4 2'
loop_
_atom_site_label
_atom_site_type_symbol
_atom_site_fract_x
_atom_site_fract_y
_atom_site_fract_z
K1 K 0.000 0.000 0.000
P1 P 0.500 0.500 0.000
W1 W 0.500 0.500 0.500
S1 S 0.000 0.500 0.500
```

Output
**Crystal system**: tetragonal
**N(E_F)**: 4.0 states/eV per cell
**Uncorrected formation energy**: -0.30 eV per atom
**Excess energy over the best structure of this formula in the dataset**: 0.000 eV/f.u.
**Total magnetization**: 0.00 μB per formula unit